Record 1
VASP calculation (PBE-GGA) on PmTmRh after structural relaxation.

Cell lengths 5.935, 4.224, 7.266 Å; angles 90.00, 113.74, 90.00 degrees
Atoms (fractional coordinates):
Pm 0.011 0.000 0.248
Pm 0.989 0.000 0.752
Tm 0.489 0.500 0.752
Tm 0.511 0.500 0.248
Rh 0.000 0.500 0.500
Rh 0.500 0.000 0.000

## Properties
DFT formation energy = -0.544 eV/atom
Final energy = -6.07 eV/atom
Density = 8.3 Mg/m³
Relative energy among the computed polymorphs = 12 meV/atom
V = 27.8 A^3/atom
DOS at the Fermi energy = 3.2 states/eV/f.u.



Record 2
VASP calculation (PBE-GGA) on Li5Mg2Ag after structural relaxation.

Cell lengths 7.406, 7.406, 7.406 Å; angles 142.69, 142.69, 53.80 degrees
Atoms (fractional coordinates):
Li 0.000 0.000 0.000
Li 0.114 0.614 0.500
Li 0.386 0.886 0.500
Li 0.614 0.114 0.500
Li 0.886 0.386 0.500
Mg 0.258 0.258 0.000
Mg 0.742 0.742 0.000
Ag 0.500 0.500 0.000

## Properties
DFT formation energy = -0.095 eV/atom
Final energy = -2.05 eV/atom
Density = 2.1 Mg/m³
Relative energy among the computed polymorphs = 7 meV/atom
V = 18.5 A^3/atom
DOS at the Fermi energy = 3.7 states/eV/f.u.



Record 3
VASP calculation (PBE-GGA) on Rb2NaSbBr6 after structural relaxation.

Cell lengths 8.098, 8.098, 8.098 Å; angles 60.00, 60.00, 60.00 degrees
Atoms (fractional coordinates):
Rb 0.250 0.250 0.250
Rb 0.750 0.750 0.750
Na 0.000 0.000 0.000
Sb 0.500 0.500 0.500
Br 0.255 0.255 0.745
Br 0.255 0.745 0.255
Br 0.255 0.745 0.745
Br 0.745 0.255 0.255
Br 0.745 0.255 0.745
Br 0.745 0.745 0.255

## Properties
Final energy = -3.00 eV/atom
Density = 3.5 Mg/m³
Raw formation energy = -1257 meV per atom
V = 37.6 A^3/atom
DOS at the Fermi energy = 0.0 states/eV/f.u.



Record 4
VASP calculation (PBE-GGA) on SiGeRu2 after structural relaxation.

Cell lengths 4.233, 4.233, 4.233 Å; angles 60.00, 60.00, 60.00 degrees
Atoms (fractional coordinates):
Si 0.000 0.000 0.000
Ge 0.500 0.500 0.500
Ru 0.250 0.250 0.250
Ru 0.750 0.750 0.750

## Properties
Final energy = -7.57 eV/atom
Density = 9.4 Mg/m³
Raw formation energy = -424 meV per atom
Relative energy among the computed polymorphs = 17 meV/atom
V = 13.4 A^3/atom
DOS at the Fermi energy = 0.7 states/eV/f.u.